Pm2SnSe4 | PBE | relaxed

Cell lengths 4.1836, 13.8476, 14.3717 Å; angles 90.00, 90.00, 90.00 degrees
Space group Cmcm (No. 63)
Symmetry-distinct sites (fractional):
Pm (0.0000, 0.1363, 0.0679)
Sn (0.0000, 0.3949, 0.2500)
Se (0.0000, 0.0370, 0.2500)
Se (0.0000, 0.2282, 0.6176)
Se (0.0000, 0.5000, 0.0000)

Total magnetization: 0.0 μB per cell
Energy above the most stable polymorph in this dataset: 0.00 eV/f.u.
Energy relative to the elements, uncorrected: -1.420 eV/atom
Final energy: -5.3406 eV/atom

***

PmSnSe2 | PBE | relaxed

Cell lengths 4.1482, 4.1482, 27.1515 Å; angles 90.00, 90.00, 120.00 degrees
Space group R-3m (No. 166, hexagonal axes)
Symmetry-distinct sites (fractional):
Pm (0.0000, 0.0000, 0.0000)
Sn (0.0000, 0.0000, 0.5000)
Se (0.0000, 0.0000, 0.3946)

Total magnetization: 0.0 μB per cell
Density of states at the Fermi level: 4.32 states/eV per cell
Energy relative to the elements, uncorrected: -1.052 eV/atom
Final energy: -4.9828 eV/atom

***

Which value of energy relative to the elements, uncorrected does entry 1 give?
-1.420 eV/atom

***

Look up the final energy of the first one.
-5.3406 eV/atom

***

Among the records above, which one has the highest final energy?
PmSnSe2